MnSiP: relaxed, PBE.

a = 4.3254 Å, b = 4.3225 Å, c = 3.1329 Å
α = 68.81°, β = 68.71°, γ = 42.48°
Last column: nearest neighbours and their distance in Å.
Element x y z (fractional)
Mn 0.0000 0.0000 0.0000  5 Si 2.47-2.54, 5 P 2.51-2.52
Si 0.6672 0.6672 0.3328  5 P 2.44-2.56, 5 Mn 2.47-2.54
P 0.3390 0.3390 0.6610  5 Si 2.44-2.56, 5 Mn 2.51-2.52

## Properties
* formation energy from raw total energies: -0.367 eV/f.u.
* space group: Fmm2 (42)
* theoretical density: 5.19 g cm⁻³
* D(E_F): 0.30 states/eV/atom
* M_tot: 1.7 μB/f.u.
* E above lowest polymorph: 159.7 meV per atom